[1]
## Sm3Y4Pu (PBE)

Data for Sm3Y4Pu after structural relaxation.

a b c (Å): 3.448 11.665 8.881
angles (deg): 131.04 101.19 90.00
Site moments in Bohr magnetons follow the coordinates.
Fractional positions:
1 Sm 0.236 0.236 0.472  0.03
2 Sm 0.000 0.500 0.000  -0.05
3 Sm 0.764 0.764 0.528  0.03
4 Y 0.368 0.620 0.736  0.02
5 Y 0.632 0.884 0.264  0.02
6 Pu 0.500 0.000 0.000  5.71
7 Y 0.368 0.116 0.736  0.02
8 Y 0.632 0.380 0.264  0.02

As for the density: 6.70 g cm⁻³. For the energy, the calculation gives -6.640 eV/atom. The calculation puts the formation energy at 0.153 eV/atom.

[2]
## PmH4Pd2Pt (PBE)

Data for PmH4Pd2Pt after structural relaxation.

a b c (Å): 5.171 5.153 4.877
angles (deg): 120.89 121.06 91.61
Fractional positions:
1 Pt 0.732 0.732 0.464
2 H 0.086 0.980 0.581
3 Pm 0.984 0.484 0.969
4 Pd 0.485 0.985 0.970
5 H 0.871 0.397 0.369
6 H 0.496 0.602 0.582
7 Pd 0.237 0.236 0.473
8 H 0.496 0.972 0.366

As for the density: 10.56 g cm⁻³. For the energy, the calculation gives -4.764 eV/atom.